[1]
# La3Ce2SmN6 PBE-GGA optimized geometry
# Formation energy without anion corrections ... -1423 meV/atom
# Total moment ... 0.0 Bohr magnetons per cell
# Final energy ... -98.40 eV per formula unit
data_La3Ce2SmN6
_cell_length_a 6.3109
_cell_length_b 10.9312
_cell_length_c 6.3527
_cell_angle_alpha 90.00
_cell_angle_beta 109.35
_cell_angle_gamma 90.00
_symmetry_space_group_name_H-M 'C 1 2/m 1'
_symmetry_Int_Tables_number 12
loop_
_symmetry_equiv_pos_as_xyz
'x,y,z'
'-x,-y,-z'
'-x,y,-z'
'x,-y,z'
'x+1/2,y+1/2,z'
'-x+1/2,-y+1/2,-z'
'-x+1/2,y+1/2,-z'
'x+1/2,-y+1/2,z'
loop_
_atom_site_label
_atom_site_type_symbol
_atom_site_fract_x
_atom_site_fract_y
_atom_site_fract_z
La1 La 0.0000 0.0000 0.0000
La2 La 0.0000 0.3337 0.0000
Ce1 Ce 0.0000 0.1667 0.5000
Sm1 Sm 0.0000 0.5000 0.5000
N1 N 0.2342 0.0000 0.7297
N2 N 0.2480 0.3289 0.7310

***

[2]
# Nb5Tc4Rh PBE-GGA optimized geometry
# Total moment ... 0.0 Bohr magnetons per cell
# Final energy ... -102.38 eV per formula unit
# ΔH_f (0 K) ... -0.3220 eV per atom
data_Nb5Tc4Rh
_cell_length_a 3.2009
_cell_length_b 3.2009
_cell_length_c 15.9361
_cell_angle_alpha 90.00
_cell_angle_beta 90.00
_cell_angle_gamma 90.00
_symmetry_space_group_name_H-M 'P 4/m m m'
_symmetry_Int_Tables_number 123
_symmetry_space_group_name_Hall '-P 4 2'
loop_
_atom_site_label
_atom_site_type_symbol
_atom_site_fract_x
_atom_site_fract_y
_atom_site_fract_z
Nb1 Nb 0.0000 0.0000 0.0000
Nb2 Nb 0.0000 0.0000 0.1999
Nb3 Nb 0.0000 0.0000 0.3971
Tc1 Tc 0.5000 0.5000 0.0998
Tc2 Tc 0.5000 0.5000 0.3010
Rh1 Rh 0.5000 0.5000 0.5000

***

[3]
# Cs2Sn2H3 PBE-GGA optimized geometry
# Total moment ... 0.0 Bohr magnetons per cell
# Final energy ... -19.66 eV per formula unit
data_Cs2Sn2H3
_cell_length_a 7.3503
_cell_length_b 3.5548
_cell_length_c 7.3801
_cell_angle_alpha 90.00
_cell_angle_beta 110.26
_cell_angle_gamma 90.00
_symmetry_space_group_name_H-M 'P 1 2/m 1'
_symmetry_Int_Tables_number 10
loop_
_symmetry_equiv_pos_as_xyz
'x,y,z'
'-x,-y,-z'
'-x,y,-z'
'x,-y,z'
loop_
_atom_site_label
_atom_site_type_symbol
_atom_site_fract_x
_atom_site_fract_y
_atom_site_fract_z
Cs1 Cs 0.2037 0.0000 0.2898
Sn1 Sn 0.3343 0.5000 0.8122
H1 H 0.1554 0.5000 0.9391
H2 H 0.5000 0.5000 0.5000

***

[4]
# Pu2PtCl PBE-GGA optimized geometry
# Formation energy without anion corrections ... -913 meV/atom
# Total moment ... 33.7 Bohr magnetons per cell
# Distance to the lowest polymorph of the same formula ... 16.7 meV/atom
# Final energy ... -40.20 eV per formula unit
data_Pu2PtCl
_cell_length_a 3.9379
_cell_length_b 3.9379
_cell_length_c 23.3635
_cell_angle_alpha 90.00
_cell_angle_beta 90.00
_cell_angle_gamma 120.00
_symmetry_space_group_name_H-M 'R 3 m'
_symmetry_Int_Tables_number 160
_symmetry_space_group_name_Hall 'R 3 -2"'
loop_
_atom_site_label
_atom_site_type_symbol
_atom_site_fract_x
_atom_site_fract_y
_atom_site_fract_z
Pu1 Pu 0.0000 0.0000 0.0000
Pu2 Pu 0.0000 0.0000 0.1875
Pt1 Pt 0.0000 0.0000 0.5938
Cl1 Cl 0.0000 0.0000 0.4249

***

[5]
# PmCuAsAu PBE-GGA optimized geometry
# Total moment ... 0.0 Bohr magnetons per cell
# Final energy ... -18.63 eV per formula unit
# ΔH_f (0 K) ... -0.4646 eV per atom
data_PmCuAsAu
_cell_length_a 6.8966
_cell_length_b 6.8966
_cell_length_c 6.8966
_cell_angle_alpha 90.00
_cell_angle_beta 90.00
_cell_angle_gamma 90.00
_symmetry_space_group_name_H-M 'F -4 3 m'
_symmetry_Int_Tables_number 216
_symmetry_space_group_name_Hall 'F -4 2 3'
loop_
_atom_site_label
_atom_site_type_symbol
_atom_site_fract_x
_atom_site_fract_y
_atom_site_fract_z
Pm1 Pm 0.0000 0.0000 0.0000
Cu1 Cu 0.0000 0.0000 0.5000
As1 As 0.2500 0.2500 0.2500
Au1 Au 0.2500 0.2500 0.7500

***

[6]
# SnPd9Pt2 PBE-GGA optimized geometry
# Total moment ... 0.0 Bohr magnetons per cell
# Final energy ... -64.89 eV per formula unit
# ΔH_f (0 K) ... -0.1729 eV per atom
data_SnPd9Pt2
_cell_length_a 3.9809
_cell_length_b 3.9809
_cell_length_c 11.9246
_cell_angle_alpha 90.00
_cell_angle_beta 90.00
_cell_angle_gamma 90.00
_symmetry_space_group_name_H-M 'P 4/m m m'
_symmetry_Int_Tables_number 123
_symmetry_space_group_name_Hall '-P 4 2'
loop_
_atom_site_label
_atom_site_type_symbol
_atom_site_fract_x
_atom_site_fract_y
_atom_site_fract_z
Sn1 Sn 0.0000 0.0000 0.0000
Pd1 Pd 0.0000 0.5000 0.1690
Pd2 Pd 0.0000 0.5000 0.5000
Pd3 Pd 0.5000 0.5000 0.0000
Pd4 Pd 0.5000 0.5000 0.3334
Pt1 Pt 0.0000 0.0000 0.3389